Here is a relaxed structure of LaPbN2O from the Alexandria database. Energies are from PBE.

Cell lengths 4.404, 4.404, 4.632 Å; angles 90.00, 90.00, 90.00 degrees
Site moments in Bohr magnetons follow the coordinates.
Fractional positions:
La 0.000 0.000 0.000  0.01
O 0.000 0.000 0.500  0.25
N 0.000 0.500 0.000  0.07
N 0.500 0.000 0.000  0.07
Pb 0.500 0.500 0.500  -0.01

M_tot in μB per formula unit: 0.472
Formation energy from raw total energies in eV/atom: 0.169
Volume in Å³/atom: 17.97